# Tm5InCu4 (GGA-PBE, relaxed)
# Raw total energy in eV/atom: -4.47
# Formation enthalpy at 0 K in eV per atom: -0.32
# N(E_F) in states/eV/f.u.: 4.86
data_Tm5InCu4
_cell_length_a 3.418
_cell_length_b 3.418
_cell_length_c 18.086
_cell_angle_alpha 90.00
_cell_angle_beta 90.00
_cell_angle_gamma 90.00
_symmetry_space_group_name_H-M 'P 4/m m m'
_symmetry_Int_Tables_number 123
_symmetry_space_group_name_Hall '-P 4 2'
loop_
_atom_site_label
_atom_site_fract_x
_atom_site_fract_y
_atom_site_fract_z
Tm1 0.000 0.000 0.000
Tm2 0.000 0.000 0.190
Tm3 0.000 0.000 0.379
In1 0.500 0.500 0.500
Cu1 0.500 0.500 0.095
Cu2 0.500 0.500 0.286

=====

# ZnRh3Pb (GGA-PBE, relaxed)
# Raw total energy in eV/atom: -4.77
# Excess energy over the best structure of this formula in the dataset in meV/atom: 0
# Formation enthalpy at 0 K in eV per atom: 0.64
# N(E_F) in states/eV/f.u.: 3.77
data_ZnRh3Pb
_cell_length_a 4.581
_cell_length_b 4.581
_cell_length_c 4.581
_cell_angle_alpha 90.00
_cell_angle_beta 90.00
_cell_angle_gamma 90.00
_symmetry_space_group_name_H-M 'P m -3 m'
_symmetry_Int_Tables_number 221
_symmetry_space_group_name_Hall '-P 4 2 3'
loop_
_atom_site_label
_atom_site_fract_x
_atom_site_fract_y
_atom_site_fract_z
Zn1 0.000 0.000 0.000
Rh1 0.000 0.000 0.500
Pb1 0.500 0.500 0.500

=====

# TlBrO2 (GGA-PBE, relaxed)
# Raw total energy in eV/atom: -3.54
# Excess energy over the best structure of this formula in the dataset in meV/atom: 289
# N(E_F) in states/eV/f.u.: 0.00
data_TlBrO2
_cell_length_a 6.022
_cell_length_b 3.991
_cell_length_c 13.575
_cell_angle_alpha 90.00
_cell_angle_beta 90.00
_cell_angle_gamma 90.00
_symmetry_space_group_name_H-M 'P n m a'
_symmetry_Int_Tables_number 62
loop_
_symmetry_equiv_pos_as_xyz
'x,y,z'
'-x,-y,-z'
'-x+1/2,-y,z+1/2'
'x+1/2,y,-z+1/2'
'x+1/2,-y+1/2,-z+1/2'
'-x+1/2,y+1/2,z+1/2'
'-x,y+1/2,-z'
'x,-y+1/2,z'
loop_
_atom_site_label
_atom_site_fract_x
_atom_site_fract_y
_atom_site_fract_z
Tl1 0.101 0.250 0.156
Br1 0.123 0.750 0.409
O1 0.164 0.250 0.443
O2 0.204 0.250 0.802

=====

# Ac3Si2Ni2 (GGA-PBE, relaxed)
# Raw total energy in eV/atom: -5.43
# N(E_F) in states/eV/f.u.: 5.24
data_Ac3Si2Ni2
_cell_length_a 5.897
_cell_length_b 8.384
_cell_length_c 13.375
_cell_angle_alpha 90.00
_cell_angle_beta 90.00
_cell_angle_gamma 90.00
_symmetry_space_group_name_H-M 'P b c m'
_symmetry_Int_Tables_number 57
loop_
_symmetry_equiv_pos_as_xyz
'x,y,z'
'-x,-y,-z'
'-x,-y,z+1/2'
'x,y,-z+1/2'
'x,-y+1/2,-z'
'-x,y+1/2,z'
'-x,y+1/2,-z+1/2'
'x,-y+1/2,z+1/2'
loop_
_atom_site_label
_atom_site_fract_x
_atom_site_fract_y
_atom_site_fract_z
Ac1 0.141 0.107 0.099
Ac2 0.343 0.746 0.750
Si1 0.182 0.095 0.750
Si2 0.376 0.750 0.000
Ni1 0.391 0.044 0.589

=====

Which of these has the lowest N(E_F)? TlBrO2

=====

What is the formula in the third record? TlBrO2